No. 1
# CuIrBr meta-GGA SCAN single point on PBEsol structure
# * total DFT energy (no corrections): -34.338 eV/atom
# * formation energy without anion corrections: 914.3 meV per atom
# * spin magnetization: 0.0 μB/f.u.
# * volume: 96.2 Å³ per cell
# * crystal system: tetragonal
data_CuIrBr
_space_group_name_H-M_alt 'I 4 m m'
_space_group_IT_number 107
_space_group_name_Hall 'I 4 -2'
_cell_length_a 2.953
_cell_length_b 2.953
_cell_length_c 11.035
_cell_angle_alpha 90.00
_cell_angle_beta 90.00
_cell_angle_gamma 90.00
loop_
_atom_site_label
_atom_site_type_symbol
_atom_site_fract_x
_atom_site_fract_y
_atom_site_fract_z
_atom_site_occupancy
Cu1 Cu 0.000 0.000 0.000 1
Ir1 Ir 0.000 0.000 0.634 1
Br1 Br 0.000 0.000 0.299 1

***

No. 2
# Rb3HSe meta-GGA SCAN single point on PBEsol structure
# * total DFT energy (no corrections): -17.959 eV/atom
# * spin magnetization: 0.0 μB/f.u.
# * volume: 152.5 Å³ per cell
# * crystal system: cubic
data_Rb3HSe
_space_group_name_H-M_alt 'P m -3 m'
_space_group_IT_number 221
_space_group_name_Hall '-P 4 2 3'
_cell_length_a 5.342
_cell_length_b 5.342
_cell_length_c 5.342
_cell_angle_alpha 90.00
_cell_angle_beta 90.00
_cell_angle_gamma 90.00
loop_
_atom_site_label
_atom_site_type_symbol
_atom_site_fract_x
_atom_site_fract_y
_atom_site_fract_z
_atom_site_occupancy
Rb1 Rb 0.000 0.000 0.500 1
H1 H 0.000 0.000 0.000 1
Se1 Se 0.500 0.500 0.500 1

***

No. 3
# Y3TcSn meta-GGA SCAN single point on PBEsol structure
# * total DFT energy (no corrections): -30.079 eV/atom
# * spin magnetization: 2.0 μB/f.u.
# * DFT formation energy: 0.82 eV per atom
# * volume: 170.8 Å³ per cell
# * crystal system: cubic
data_Y3TcSn
_space_group_name_H-M_alt 'P m -3 m'
_space_group_IT_number 221
_space_group_name_Hall '-P 4 2 3'
_cell_length_a 5.548
_cell_length_b 5.548
_cell_length_c 5.548
_cell_angle_alpha 90.00
_cell_angle_beta 90.00
_cell_angle_gamma 90.00
loop_
_atom_site_label
_atom_site_type_symbol
_atom_site_fract_x
_atom_site_fract_y
_atom_site_fract_z
_atom_site_occupancy
Y1 Y 0.000 0.000 0.500 1
Tc1 Tc 0.500 0.500 0.500 1
Sn1 Sn 0.000 0.000 0.000 1

***

No. 4
# ScTl2Os meta-GGA SCAN single point on PBEsol structure
# * total DFT energy (no corrections): -57.400 eV/atom
# * spin magnetization: 0.0 μB/f.u.
# * DFT formation energy: 0.31 eV per atom
# * volume: 78.2 Å³ per cell
# * crystal system: orthorhombic
data_ScTl2Os
_space_group_name_H-M_alt 'P m m m'
_space_group_IT_number 47
_cell_length_a 3.448
_cell_length_b 4.684
_cell_length_c 4.844
_cell_angle_alpha 90.00
_cell_angle_beta 90.00
_cell_angle_gamma 90.00
loop_
_space_group_symop_operation_xyz
'x,y,z'
'-x,-y,-z'
'-x,-y,z'
'x,y,-z'
'x,-y,-z'
'-x,y,z'
'-x,y,-z'
'x,-y,z'
loop_
_atom_site_label
_atom_site_type_symbol
_atom_site_fract_x
_atom_site_fract_y
_atom_site_fract_z
_atom_site_occupancy
Sc1 Sc 0.000 0.000 0.000 1
Tl1 Tl 0.000 0.500 0.500 1
Tl2 Tl 0.500 0.500 0.000 1
Os1 Os 0.500 0.000 0.500 1

***

No. 5
# Ca2TaSb meta-GGA SCAN single point on PBEsol structure
# * total DFT energy (no corrections): -30.222 eV/atom
# * formation energy without anion corrections: 570.7 meV per atom
# * spin magnetization: 1.5 μB/f.u.
# * volume: 418.3 Å³ per cell
# * crystal system: tetragonal
data_Ca2TaSb
_space_group_name_H-M_alt 'I -4 2 d'
_space_group_IT_number 122
_space_group_name_Hall 'I -4 2bw'
_cell_length_a 8.500
_cell_length_b 8.500
_cell_length_c 5.789
_cell_angle_alpha 90.00
_cell_angle_beta 90.00
_cell_angle_gamma 90.00
loop_
_atom_site_label
_atom_site_type_symbol
_atom_site_fract_x
_atom_site_fract_y
_atom_site_fract_z
_atom_site_occupancy
Ca1 Ca 0.239 0.750 0.125 1
Ta1 Ta 0.000 0.000 0.500 1
Sb1 Sb 0.000 0.000 0.000 1

***

No. 6
# NbTe2Rh meta-GGA SCAN single point on PBEsol structure
# * total DFT energy (no corrections): -35.280 eV/atom
# * formation energy without anion corrections: 70.6 meV per atom
# * spin magnetization: 0.0 μB/f.u.
# * volume: 263.3 Å³ per cell
# * crystal system: trigonal
data_NbTe2Rh
_space_group_name_H-M_alt 'R -3 m'
_space_group_IT_number 166
_space_group_name_Hall '-R 3 2"'
_cell_length_a 3.3721
_cell_length_b 3.3721
_cell_length_c 26.7341
_cell_angle_alpha 90.00
_cell_angle_beta 90.00
_cell_angle_gamma 120.00
loop_
_atom_site_label
_atom_site_type_symbol
_atom_site_fract_x
_atom_site_fract_y
_atom_site_fract_z
_atom_site_occupancy
Nb1 Nb 0.0000 0.0000 0.0000 1
Te1 Te 0.0000 0.0000 0.4068 1
Rh1 Rh 0.0000 0.0000 0.5000 1

***

No. 7
# Ba2MnZn2As2O2 meta-GGA SCAN single point on PBEsol structure
# * total DFT energy (no corrections): -21.209 eV/atom
# * formation energy without anion corrections: -1516.8 meV per atom
# * spin magnetization: 4.9 μB/f.u.
# * volume: 337.7 Å³ per cell
# * crystal system: tetragonal
data_Ba2MnZn2As2O2
_space_group_name_H-M_alt 'I 4/m m m'
_space_group_IT_number 139
_space_group_name_Hall '-I 4 2'
_cell_length_a 4.166
_cell_length_b 4.166
_cell_length_c 19.454
_cell_angle_alpha 90.00
_cell_angle_beta 90.00
_cell_angle_gamma 90.00
loop_
_atom_site_label
_atom_site_type_symbol
_atom_site_fract_x
_atom_site_fract_y
_atom_site_fract_z
_atom_site_occupancy
Ba1 Ba 0.000 0.000 0.093 1
Mn1 Mn 0.000 0.000 0.500 1
Zn1 Zn 0.000 0.500 0.250 1
As1 As 0.000 0.000 0.326 1
O1 O 0.000 0.500 0.000 1

***

No. 8
# BaLaB12 meta-GGA SCAN single point on PBEsol structure
# * total DFT energy (no corrections): -12.836 eV/atom
# * spin magnetization: 0.0 μB/f.u.
# * DFT formation energy: -0.56 eV per atom
# * volume: 146.9 Å³ per cell
# * crystal system: tetragonal
data_BaLaB12
_space_group_name_H-M_alt 'P 4/m m m'
_space_group_IT_number 123
_space_group_name_Hall '-P 4 2'
_cell_length_a 4.185
_cell_length_b 4.185
_cell_length_c 8.387
_cell_angle_alpha 90.00
_cell_angle_beta 90.00
_cell_angle_gamma 90.00
loop_
_atom_site_label
_atom_site_type_symbol
_atom_site_fract_x
_atom_site_fract_y
_atom_site_fract_z
_atom_site_occupancy
Ba1 Ba 0.000 0.000 0.000 1
La1 La 0.000 0.000 0.500 1
B1 B 0.202 0.500 0.254 1
B2 B 0.500 0.500 0.103 1
B3 B 0.500 0.500 0.401 1

***

No. 9
# YAlCr2 meta-GGA SCAN single point on PBEsol structure
# * total DFT energy (no corrections): -17.839 eV/atom
# * spin magnetization: 6.1 μB/f.u.
# * DFT formation energy: 0.25 eV per atom
# * volume: 69.0 Å³ per cell
# * crystal system: monoclinic
data_YAlCr2
_space_group_name_H-M_alt 'P 1 2/m 1'
_space_group_IT_number 10
_cell_length_a 2.928
_cell_length_b 4.150
_cell_length_c 5.858
_cell_angle_alpha 90.00
_cell_angle_beta 104.14
_cell_angle_gamma 90.00
loop_
_space_group_symop_operation_xyz
'x,y,z'
'-x,-y,-z'
'-x,y,-z'
'x,-y,z'
loop_
_atom_site_label
_atom_site_type_symbol
_atom_site_fract_x
_atom_site_fract_y
_atom_site_fract_z
_atom_site_occupancy
Y1 Y 0.000 0.000 0.000 1
Al1 Al 0.500 0.000 0.500 1
Cr1 Cr 0.292 0.500 0.696 1

***

No. 10
# PdF2 meta-GGA SCAN single point on PBEsol structure
# * total DFT energy (no corrections): -14.626 eV/atom
# * formation energy without anion corrections: -1340.9 meV per atom
# * spin magnetization: 2.0 μB/f.u.
# * volume: 80.0 Å³ per cell
# * crystal system: tetragonal
data_PdF2
_space_group_name_H-M_alt 'P 42/m n m'
_space_group_IT_number 136
_space_group_name_Hall '-P 4n 2n'
_cell_length_a 4.812
_cell_length_b 4.812
_cell_length_c 3.455
_cell_angle_alpha 90.00
_cell_angle_beta 90.00
_cell_angle_gamma 90.00
loop_
_atom_site_label
_atom_site_type_symbol
_atom_site_fract_x
_atom_site_fract_y
_atom_site_fract_z
_atom_site_occupancy
Pd1 Pd 0.000 0.000 0.000 1
F1 F 0.194 0.194 0.500 1

***

No. 11
# ZrTlCo meta-GGA SCAN single point on PBEsol structure
# * total DFT energy (no corrections): -40.143 eV/atom
# * spin magnetization: 1.6 μB/f.u.
# * DFT formation energy: -0.02 eV per atom
# * volume: 105.9 Å³ per cell
# * crystal system: tetragonal
data_ZrTlCo
_space_group_name_H-M_alt 'I 4 m m'
_space_group_IT_number 107
_space_group_name_Hall 'I 4 -2'
_cell_length_a 3.110
_cell_length_b 3.110
_cell_length_c 10.943
_cell_angle_alpha 90.00
_cell_angle_beta 90.00
_cell_angle_gamma 90.00
loop_
_atom_site_label
_atom_site_type_symbol
_atom_site_fract_x
_atom_site_fract_y
_atom_site_fract_z
_atom_site_occupancy
Zr1 Zr 0.000 0.000 0.000 1
Tl1 Tl 0.000 0.000 0.290 1
Co1 Co 0.000 0.000 0.632 1

***

No. 12
# Ni2AsAu meta-GGA SCAN single point on PBEsol structure
# * total DFT energy (no corrections): -30.237 eV/atom
# * spin magnetization: 0.0 μB/f.u.
# * DFT formation energy: 0.19 eV per atom
# * volume: 217.1 Å³ per cell
# * crystal system: cubic
data_Ni2AsAu
_space_group_name_H-M_alt 'F -4 3 m'
_space_group_IT_number 216
_space_group_name_Hall 'F -4 2 3'
_cell_length_a 6.010
_cell_length_b 6.010
_cell_length_c 6.010
_cell_angle_alpha 90.00
_cell_angle_beta 90.00
_cell_angle_gamma 90.00
loop_
_atom_site_label
_atom_site_type_symbol
_atom_site_fract_x
_atom_site_fract_y
_atom_site_fract_z
_atom_site_occupancy
Ni1 Ni 0.000 0.000 0.000 1
Ni2 Ni 0.250 0.250 0.250 1
As1 As 0.000 0.000 0.500 1
Au1 Au 0.250 0.250 0.750 1